Computed, not measured: a geometry-optimized Dy2Zn16Rh structure at the GGA-PBE level of DFT.

The structure belongs to space group R3m (No. 160, hexagonal axes); the cell edges are 8.9546, 8.9546 and 13.1263 Å and the angles 90.00°, 90.00° and 120.00°. Symmetry generates all atoms from Dy at (0.0000, 0.0000, 0.0000), Dy at (0.0000, 0.0000, 0.3329), Zn at (0.0000, 0.0000, 0.5692), Zn at (0.0004, 0.2902, 0.6738), Zn at (0.0125, 0.5062, 0.8222), Zn at (0.1683, 0.3366, 0.8551), Zn at (0.1696, 0.3392, 0.5063) and Rh at (0.0000, 0.0000, 0.7711).

The formation energy is -0.2703 eV/atom. Its calculated total energy is -2.214 eV/atom.